The following is a DFT calculation (PBE) of BeInF3 after structural relaxation.

Values from the calculation:
excess energy over the best structure of this formula in the dataset = 1.3590 eV per atom
density of states at the Fermi level = 0.0 states/eV/cell
M_tot = 0.00 μB per formula unit
crystal system = cubic

Cell and atoms, written as POSCAR:
```
BeInF3
1.0
-1.326 -0.172 -4.102
0.770 -4.244 -0.071
-4.032 -0.754 1.335
F In Be
3 1 1
direct
0.000 0.500 0.000
0.500 0.000 0.000
0.000 0.000 0.500
0.000 0.000 0.000
0.500 0.500 0.500
```


The following is a DFT calculation (PBE) of BeIn2F after structural relaxation.

Values from the calculation:
excess energy over the best structure of this formula in the dataset = 0.0000 eV per atom
density of states at the Fermi level = 2.2 states/eV/cell
M_tot = 0.00 μB per formula unit
crystal system = tetragonal

Cell and atoms, written as POSCAR:
```
BeIn2F
1.0
-1.821 3.387 3.630
-4.846 -0.373 -2.083
-4.632 -3.364 4.666
Be F In
2 2 4
direct
0.500 0.500 0.000
0.250 0.750 0.500
0.000 0.000 0.000
0.750 0.250 0.500
0.375 0.372 0.750
0.875 0.878 0.750
0.122 0.625 0.250
0.628 0.125 0.250
```


The following is a DFT calculation (PBE) of Be2InF after structural relaxation.

Values from the calculation:
excess energy over the best structure of this formula in the dataset = 0.0000 eV per atom
density of states at the Fermi level = 2.8 states/eV/cell
M_tot = 0.00 μB per formula unit
crystal system = tetragonal

Cell and atoms, written as POSCAR:
```
Be2InF
1.0
4.384 0.000 0.000
0.000 4.384 0.000
2.192 2.192 5.819
In F Be
2 2 4
direct
0.000 0.000 0.000
0.750 0.250 0.500
0.250 0.750 0.500
0.500 0.500 0.000
0.375 0.625 0.750
0.375 0.125 0.250
0.375 0.625 0.250
0.875 0.625 0.750
```


The following is a DFT calculation (PBE) of Be2InF6 after structural relaxation.

Values from the calculation:
M_tot = 0.00 μB per formula unit
crystal system = monoclinic

Cell and atoms, written as POSCAR:
```
Be2InF6
1.0
4.911 0.339 0.328
1.895 7.105 0.483
1.895 0.713 7.086
Be F In
4 12 2
direct
0.222 0.238 0.418
0.722 0.418 0.238
0.778 0.762 0.582
0.278 0.582 0.762
0.410 0.360 0.820
0.590 0.640 0.180
0.523 0.669 0.609
0.910 0.820 0.360
0.843 0.306 0.058
0.023 0.609 0.669
0.977 0.391 0.331
0.090 0.180 0.640
0.343 0.058 0.306
0.477 0.331 0.391
0.657 0.942 0.694
0.157 0.694 0.942
0.750 0.888 0.112
0.250 0.112 0.888
```


Number 1: raw total energy -3.666 eV per atom. Number 2: raw total energy -3.118 eV per atom. Number 3: raw total energy -3.359 eV per atom. Number 4: raw total energy -5.231 eV per atom.